Density functional theory data (PBE) for crystalline AlHg2Cl at its relaxed geometry.

POSCAR file:
```
AlHg2Cl
1.0
-3.773 9.376 0.300
-6.385 7.707 -1.438
-6.284 7.634 2.113
Al Hg Cl
1 2 1
direct
0.501 0.501 0.501
0.984 0.984 0.984
0.233 0.233 0.233
0.782 0.782 0.782
```

ΔE to the lowest computed polymorph: 61 meV/atom
calculated volume: 27.1 A^3/atom
M_tot: 0.000 μB/atom
formation energy from raw total energies: -0.9 eV per formula unit